DFT (SCAN) results for FeCo4Rh at its PBEsol-relaxed geometry.

## Properties
- E: -121.11 eV per cell
- Formation energy from the elements: 0.00 eV per atom
- Space group: F-43m, No. 216
- Spin magnetization: 11.166 μB/cell

The structure in POSCAR format:
```
FeCo4Rh
1.0
-1.9852 -3.6898 1.8686
2.0215 -4.1053 -0.3271
1.8366 -1.9555 3.7216
Rh Co Fe
1 4 1
direct
0.0000 0.0000 0.0000
0.6250 0.1250 0.6250
0.1250 0.6250 0.6250
0.6250 0.6250 0.1250
0.6250 0.6250 0.6250
0.2500 0.2500 0.2500
```